A relaxed Mn2Fe2O7 crystal. Source: the Alexandria database, functional PBE+U.

Values from the calculation:
Its space group is C2/m (12). For the final energy, the calculation gives -6.75 eV/atom. The calculated volume comes out at 12.5 Å³ per atom.

Lattice parameters (Å, degrees): 5.289 5.289 5.291 94.09 94.09 110.05
Positions (direct):
Mn: 0.236 0.236 0.113
Mn: 0.764 0.764 0.887
Fe: 0.186 0.814 0.500
Fe: 0.814 0.186 0.500
O: 0.060 0.060 0.763
O: 0.105 0.451 0.319
O: 0.451 0.105 0.319
O: 0.500 0.500 0.000
O: 0.549 0.895 0.681
O: 0.895 0.549 0.681
O: 0.940 0.940 0.237